Compound: AcYP2Pd2
Source: Alexandria
Functional: PBE
Structure: optimized geometry

CIF file:
```
data_AcYP2Pd2
_cell_length_a 4.276
_cell_length_b 4.276
_cell_length_c 7.897
_cell_angle_alpha 90.00
_cell_angle_beta 90.00
_cell_angle_gamma 120.00
_symmetry_space_group_name_H-M 'P 1'
_symmetry_Int_Tables_number 1
_symmetry_space_group_name_Hall 'P 1'
loop_
_atom_site_label
_atom_site_type_symbol
_atom_site_fract_x
_atom_site_fract_y
_atom_site_fract_z
Ac1 Ac 0.000 0.000 0.000
Y1 Y 0.000 0.000 0.500
P1 P 0.333 0.667 0.271
P2 P 0.667 0.333 0.729
Pd1 Pd 0.333 0.667 0.729
Pd2 Pd 0.667 0.333 0.271
```

uncorrected energy = -6.535 eV per atom
ρ = 7.845 g/cm³
space group = P-3m1 (164)
N(E_F) = 1.165 states/eV/cell